Entry 1:
Below is Nb3HgOs after structural relaxation, with properties calculated at the PBE-GGA level.

Lattice parameters (Å, degrees): 4.9289 4.9289 4.9289 90.00 90.00 90.00
With the nearest neighbours (Å) after each atom.
Space group Pm-3m (No. 221)
Symmetry-distinct sites (fractional):
Nb  0.0000  0.0000  0.5000 (multiplicity 3)  2 Hg 2.46
Hg  0.0000  0.0000  0.0000 (multiplicity 1)  6 Nb 2.46
Os  0.5000  0.5000  0.5000 (multiplicity 1)  12 Nb 3.49

Values from the calculation:
size of the total moment = 0.1 μB per formula unit
E above lowest polymorph = 1556 meV per atom

Entry 2:
Below is GdScTlGa after structural relaxation, with properties calculated at the PBE-GGA level.

Lattice parameters (Å, degrees): 7.2375 7.2375 7.2375 90.00 90.00 90.00
With the nearest neighbours (Å) after each atom.
Space group F-43m (No. 216)
Symmetry-distinct sites (fractional):
Gd  0.0000  0.0000  0.0000 (multiplicity 4)  4 Tl 3.13, 4 Ga 3.13
Sc  0.0000  0.0000  0.5000 (multiplicity 4)  4 Ga 3.13, 4 Tl 3.13
Tl  0.2500  0.2500  0.2500 (multiplicity 4)  4 Sc 3.13, 4 Gd 3.13
Ga  0.2500  0.2500  0.7500 (multiplicity 4)  4 Gd 3.13, 4 Sc 3.13

Values from the calculation:
size of the total moment = 7.3 μB per formula unit
uncorrected energy = -6.8532 eV/atom

Entry 3:
Below is HfCrGa after structural relaxation, with properties calculated at the PBE-GGA level.

Lattice parameters (Å, degrees): 5.1630 5.1630 37.3536 90.00 90.00 120.00
With the nearest neighbours (Å) after each atom.
Space group R-3m (No. 166, hexagonal axes)
Symmetry-distinct sites (fractional):
Hf  0.0000  0.0000  0.0403 (multiplicity 6)  3 Ga 2.98, 9 Cr 2.99-3.00, 4 Hf 3.01-3.13
Hf  0.0000  0.0000  0.1786 (multiplicity 6)  9 Ga 2.98-3.09, 3 Cr 3.01, 4 Hf 3.11-3.32
Hf  0.0000  0.0000  0.2674 (multiplicity 6)  6 Cr 2.88-3.04, 6 Ga 3.05, 3 Hf 3.13
Cr  0.0000  0.0000  0.3838 (multiplicity 6)  3 Cr 2.40, 3 Ga 2.67
Cr  0.0000  0.0000  0.5000 (multiplicity 3)  6 Ga 2.61
Cr  0.0000  0.5000  0.0000 (multiplicity 9)  6 Cr 2.40-2.58
Ga  0.0014  0.5007  0.7762 (multiplicity 18)  4 Ga 2.57-2.59, 2 Cr 2.61-2.67

Values from the calculation:
size of the total moment = 0.4 μB per formula unit
E above lowest polymorph = 0 meV per atom

Entry 4:
Below is Fe4CoRu after structural relaxation, with properties calculated at the PBE-GGA level.

Lattice parameters (Å, degrees): 6.5457 6.5457 6.5457 90.00 90.00 90.00
With the nearest neighbours (Å) after each atom.
Space group F-43m (No. 216)
Symmetry-distinct sites (fractional):
Fe  0.1247  0.1247  0.1247 (multiplicity 16)  6 Fe 2.31-2.32
Co  0.2500  0.2500  0.7500 (multiplicity 4)  12 Fe 2.71, 4 Ru 2.83
Ru  0.0000  0.0000  0.5000 (multiplicity 4)  12 Fe 2.71, 4 Co 2.83

Values from the calculation:
size of the total moment = 8.0 μB per formula unit
uncorrected energy = -8.1700 eV/atom

Entry 5:
Below is HfSbI2 after structural relaxation, with properties calculated at the PBE-GGA level.

Lattice parameters (Å, degrees): 7.4766 7.4766 7.4766 90.00 90.00 90.00
With the nearest neighbours (Å) after each atom.
Space group Fm-3m (No. 225)
Symmetry-distinct sites (fractional):
Hf  0.0000  0.0000  0.0000 (multiplicity 4)  8 I 3.24
Sb  0.0000  0.0000  0.5000 (multiplicity 4)  8 I 3.24
I  0.2500  0.2500  0.2500 (multiplicity 8)  4 Hf 3.24, 4 Sb 3.24

Values from the calculation:
size of the total moment = 0.0 μB per formula unit
energy relative to the elements, uncorrected = 0.333 eV/atom

Entry 6:
Below is Ho4TmGe4 after structural relaxation, with properties calculated at the PBE-GGA level.

Lattice parameters (Å, degrees): 9.0320 9.0320 5.8002 90.00 90.00 90.00
With the nearest neighbours (Å) after each atom.
Space group P4_2/n (No. 86, origin choice 2)
Symmetry-distinct sites (fractional):
Ho  0.0751  0.6587  0.1344 (multiplicity 8)  5 Ge 2.90-3.00
Tm  0.2500  0.2500  0.2500 (multiplicity 2)  4 Ge 2.81
Ge  0.0235  0.6210  0.6340 (multiplicity 8)  1 Ge 2.71, 1 Tm 2.81, 5 Ho 2.90-3.00

Values from the calculation:
size of the total moment = 0.0 μB per formula unit
uncorrected energy = -5.1607 eV/atom

Entry 7:
Below is Na2LaB2 after structural relaxation, with properties calculated at the PBE-GGA level.

Lattice parameters (Å, degrees): 4.7208 4.7208 8.6132 90.00 90.00 90.00
With the nearest neighbours (Å) after each atom.
Space group I4/mmm (No. 139)
Symmetry-distinct sites (fractional):
Na  0.0000  0.0000  0.1411 (multiplicity 4)  1 Na 2.43, 4 B 2.54
La  0.0000  0.0000  0.5000 (multiplicity 2)  2 Na 3.09, 8 B 3.20
B  0.0000  0.5000  0.2500 (multiplicity 4)  4 Na 2.54

Values from the calculation:
size of the total moment = 0.0 μB per formula unit
E above lowest polymorph = 10 meV per atom

Entry 8:
Below is LiAcGa3 after structural relaxation, with properties calculated at the PBE-GGA level.

Lattice parameters (Å, degrees): 4.5250 24.7970 4.3509 90.00 90.00 90.00
With the nearest neighbours (Å) after each atom.
Space group Cmcm (No. 63)
Symmetry-distinct sites (fractional):
Li  0.0000  0.2054  0.2500 (multiplicity 4)  3 Ga 2.73-2.92
Ac  0.0000  0.0786  0.7500 (multiplicity 4)  12 Ga 3.40-3.47
Ga  0.0000  0.3153  0.2500 (multiplicity 4)  2 Ga 2.55, 1 Li 2.73
Ga  0.0000  0.3692  0.7500 (multiplicity 4)  3 Ga 2.55-2.59
Ga  0.0000  0.4737  0.7500 (multiplicity 4)  3 Ga 2.54-2.59

Values from the calculation:
size of the total moment = 0.0 μB per formula unit
uncorrected energy = -3.4128 eV/atom

Entry 9:
Below is CsMg2P after structural relaxation, with properties calculated at the PBE-GGA level.

Lattice parameters (Å, degrees): 6.1087 6.1087 16.8747 90.00 90.00 90.00
With the nearest neighbours (Å) after each atom.
Space group I4_1/amd (No. 141, origin choice 2)
Symmetry-distinct sites (fractional):
Cs  0.0000  0.2500  0.3750 (multiplicity 4)  8 Mg 4.01, 4 P 4.32
Mg  0.0000  0.0000  0.0000 (multiplicity 8)  2 P 2.60
P  0.0000  0.2500  0.8750 (multiplicity 4)  4 Mg 2.60

Values from the calculation:
size of the total moment = 0.0 μB per formula unit
uncorrected energy = -2.3491 eV/atom

Entry 10:
Below is Ho2CoP after structural relaxation, with properties calculated at the PBE-GGA level.

Lattice parameters (Å, degrees): 3.7135 3.7135 24.8992 90.00 90.00 120.00
With the nearest neighbours (Å) after each atom.
Space group R-3m (No. 166, hexagonal axes)
Symmetry-distinct sites (fractional):
Ho  0.0000  0.0000  0.1006 (multiplicity 6)  1 Co 2.50, 3 P 2.70
Co  0.0000  0.0000  0.0000 (multiplicity 3)  2 Ho 2.50
P  0.0000  0.0000  0.5000 (multiplicity 3)  6 Ho 2.70

Values from the calculation:
size of the total moment = 1.0 μB per formula unit
uncorrected energy = -5.4907 eV/atom

- size of the total moment of number 4 (Fe4CoRu)?
  8.0 μB per formula unit

- What is the formula in the seventh record?
  Na2LaB2